First-principles (meta-GGA SCAN) data for CaFeCl at its PBEsol-relaxed geometry, as listed in the Alexandria database.

Lattice parameters (Å, degrees): 4.8150 4.8150 4.8150 60.00 60.00 60.00
Closest atoms and distances in Å follow each position.
Fractional positions:
Ca: 0.2500 0.2500 0.2500  4 Cl 2.95, 4 Fe 2.95
Fe: 0.5000 0.5000 0.5000  4 Ca 2.95
Cl: 0.0000 0.0000 0.0000  4 Ca 2.95

Calculated values
Space group: F-43m (216)
Formation energy from raw total energies: 0.04 eV per atom
DOS at the Fermi energy: 8.9 states/eV/cell